Record 1
First-principles (PBE) data for a geometry-optimized YThSn structure, as listed in Alexandria via LeMat-Bulk.

```
6
Lattice="5.4632 0.0000 0.0000 -2.7316 4.7312 0.0000 0.0000 0.0000 6.5995" Properties=species:S:1:pos:R:3 pbc="T T T"
Y 0.0000 3.1542 1.6499
Y 2.7316 1.5771 4.9496
Th 0.0000 0.0000 0.0000
Th 0.0000 0.0000 3.2998
Sn 0.0000 3.1542 4.9496
Sn 2.7316 1.5771 1.6499
```

- space-group type = P6_3/mmc (194)
- N(E_F) (states/eV/f.u.) = 3.38
- formation enthalpy at 0 K (eV/f.u.) = -1.62

Record 2
First-principles (PBE) data for a geometry-optimized NbGaSb structure, as listed in Alexandria via LeMat-Bulk.

```
6
Lattice="3.7417 0.0000 0.0000 0.0000 3.7417 0.0000 0.0000 0.0000 8.4025" Properties=species:S:1:pos:R:3 pbc="T T T"
Nb 0.9354 0.9354 2.0606
Nb 2.8063 2.8063 6.3419
Ga 0.9354 2.8063 4.2013
Ga 2.8063 0.9354 4.2013
Sb 0.9354 0.9354 7.4081
Sb 2.8063 2.8063 0.9944
```

- space-group type = P4/nmm (129)
- N(E_F) (states/eV/f.u.) = 1.44
- formation energy (no corrections) (eV per atom) = -0.2751

Record 3
First-principles (PBE) data for a geometry-optimized Al5Zn3 structure, as listed in Alexandria via LeMat-Bulk.

```
8
Lattice="4.0248 -4.1038 0.0000 4.0248 4.1038 0.0000 0.0000 0.0000 3.9061" Properties=species:S:1:pos:R:3 pbc="T T T"
Al 0.0000 0.0000 0.0000
Al 2.0124 2.0519 0.0000
Al 2.0429 0.0000 1.9530
Al 2.0124 -2.0519 0.0000
Al 6.0066 0.0000 1.9530
Zn 4.0248 2.0657 1.9530
Zn 4.0248 0.0000 0.0000
Zn 4.0248 -2.0657 1.9530
```

- space-group type = Cmmm (65)
- N(E_F) (states/eV/f.u.) = 2.68
- formation enthalpy at 0 K (eV/f.u.) = 0.31

Record 4
First-principles (PBE) data for a geometry-optimized ScMo structure, as listed in Alexandria via LeMat-Bulk.

```
12
Lattice="7.5188 0.0000 0.0000 0.0000 7.5188 0.0000 0.0000 0.0000 7.5188" Properties=species:S:1:pos:R:3 pbc="T T T"
Sc 0.0000 1.8797 3.7594
Sc 0.0000 5.6391 3.7594
Sc 1.8797 3.7594 0.0000
Sc 3.7594 0.0000 1.8797
Sc 3.7594 0.0000 5.6391
Sc 5.6391 3.7594 0.0000
Mo 0.0000 3.7594 1.8797
Mo 0.0000 3.7594 5.6391
Mo 1.8797 0.0000 3.7594
Mo 3.7594 1.8797 0.0000
Mo 3.7594 5.6391 0.0000
Mo 5.6391 0.0000 3.7594
```

- space-group type = Pm-3n (223)
- N(E_F) (states/eV/f.u.) = 2.33
- formation enthalpy at 0 K (eV/f.u.) = 5.03

Record 5
First-principles (PBE) data for a geometry-optimized PrSi3Pt3 structure, as listed in Alexandria via LeMat-Bulk.

```
14
Lattice="6.6219 0.0000 0.0000 0.0000 6.6219 0.0000 0.0000 0.0000 6.6219" Properties=species:S:1:pos:R:3 pbc="T T T"
Pr 0.0000 0.0000 0.0000
Pr 3.3109 3.3109 3.3109
Si 0.0000 1.6555 3.3109
Si 0.0000 4.9664 3.3109
Si 1.6555 3.3109 0.0000
Si 3.3109 0.0000 1.6555
Si 3.3109 0.0000 4.9664
Si 4.9664 3.3109 0.0000
Pt 0.0000 3.3109 1.6555
Pt 0.0000 3.3109 4.9664
Pt 1.6555 0.0000 3.3109
Pt 3.3109 1.6555 0.0000
Pt 3.3109 4.9664 0.0000
Pt 4.9664 0.0000 3.3109
```

- space-group type = Pm-3n (223)
- N(E_F) (states/eV/f.u.) = 3.72
- formation energy (no corrections) (eV per atom) = -0.7273

Record 6
First-principles (PBE) data for a geometry-optimized AgTeOs structure, as listed in Alexandria via LeMat-Bulk.

```
3
Lattice="3.1873 0.0000 0.0000 -1.5937 2.7603 0.0000 0.0000 0.0000 6.9087" Properties=species:S:1:pos:R:3 pbc="T T T"
Ag 0.0000 0.0000 0.0000
Te 0.0000 1.8402 4.0613
Os 1.5937 0.9201 2.2003
```

- space-group type = P3m1 (156)
- N(E_F) (states/eV/f.u.) = 2.59
- formation energy (no corrections) (eV per atom) = 0.6497

Record 7
First-principles (PBE) data for a geometry-optimized CsCdPRh structure, as listed in Alexandria via LeMat-Bulk.

```
8
Lattice="4.0329 0.0000 0.0000 0.0000 4.0329 0.0000 0.0000 0.0000 14.1317" Properties=species:S:1:pos:R:3 pbc="T T T"
Cs 1.0082 1.0082 3.4091
Cs 3.0247 3.0247 10.7226
Cd 1.0082 3.0247 7.0659
Cd 3.0247 1.0082 7.0659
P 1.0082 1.0082 12.8937
P 3.0247 3.0247 1.2381
Rh 1.0082 3.0247 0.0000
Rh 3.0247 1.0082 0.0000
```

- space-group type = P4/nmm (129)
- N(E_F) (states/eV/f.u.) = 1.87
- formation enthalpy at 0 K (eV/f.u.) = -1.85

Record 8
First-principles (PBE) data for a geometry-optimized NdSm2Y6 structure, as listed in Alexandria via LeMat-Bulk.

```
9
Lattice="-1.7557 5.1813 8.2203 1.7557 -5.1813 8.2203 1.7557 5.1813 -8.2203" Properties=species:S:1:pos:R:3 pbc="T T T"
Nd 0.0000 0.0000 0.0000
Sm 1.7557 0.0000 5.6250
Sm 0.0000 5.1813 2.5953
Y 1.7557 3.4540 -5.3032
Y 1.7557 3.2839 0.0000
Y 0.0000 1.7272 2.9171
Y 1.7557 3.4540 5.3032
Y 0.0000 1.8974 8.2203
Y 0.0000 1.7272 13.5235
```

- space-group type = Immm (71)
- N(E_F) (states/eV/f.u.) = 15.35
- formation enthalpy at 0 K (eV/f.u.) = 0.93

Record 9
First-principles (PBE) data for a geometry-optimized TiNb2Pt2 structure, as listed in Alexandria via LeMat-Bulk.

```
10
Lattice="6.7940 0.0000 0.0000 0.0000 6.7940 0.0000 0.0000 0.0000 3.8403" Properties=species:S:1:pos:R:3 pbc="T T T"
Ti 0.0000 0.0000 0.0000
Ti 3.3970 3.3970 0.0000
Nb 1.1700 2.2270 1.9202
Nb 2.2270 5.6240 1.9202
Nb 4.5671 1.1700 1.9202
Nb 5.6240 4.5671 1.9202
Pt 0.9247 4.3217 0.0000
Pt 2.4724 0.9247 0.0000
Pt 4.3217 5.8694 0.0000
Pt 5.8694 2.4724 0.0000
```

- space-group type = P4/mbm (127)
- N(E_F) (states/eV/f.u.) = 7.02
- formation enthalpy at 0 K (eV/f.u.) = -2.16

Record 10
First-principles (PBE) data for a geometry-optimized CsUS3 structure, as listed in Alexandria via LeMat-Bulk.

```
10
Lattice="7.6367 0.0000 0.0000 -3.8183 6.6136 0.0000 0.0000 0.0000 6.8587" Properties=species:S:1:pos:R:3 pbc="T T T"
Cs 0.0000 4.4090 1.7147
Cs 3.8183 2.2045 5.1440
U 0.0000 0.0000 0.0000
U 0.0000 0.0000 3.4293
S 0.0000 1.9945 5.1440
S -2.0911 5.6163 5.1440
S 1.7272 0.9972 1.7147
S 2.0911 5.6163 5.1440
S 5.9094 0.9972 1.7147
S 3.8183 4.6191 1.7147
```

- space-group type = P6_3/mmc (194)
- N(E_F) (states/eV/f.u.) = 2.80
- formation energy (no corrections) (eV per atom) = -1.3547

Record 11
First-principles (PBE) data for a geometry-optimized NdB4Pt12 structure, as listed in Alexandria via LeMat-Bulk.

```
17
Lattice="-4.0042 4.0042 4.0042 4.0042 -4.0042 4.0042 4.0042 4.0042 -4.0042" Properties=species:S:1:pos:R:3 pbc="T T T"
Nd 0.0000 0.0000 0.0000
B 2.0021 2.0021 -2.0021
B 2.0021 -2.0021 2.0021
B -2.0021 2.0021 2.0021
B 2.0021 2.0021 2.0021
Pt 4.0042 -1.4006 2.5479
Pt 2.6036 1.4563 0.0000
Pt 5.4049 1.4563 0.0000
Pt 2.5479 4.0042 -1.4006
Pt 1.4563 0.0000 2.6036
Pt 4.0042 1.4006 2.5479
Pt 0.0000 2.6036 1.4563
Pt 2.5479 4.0042 1.4006
Pt 1.4563 0.0000 5.4049
Pt -1.4006 2.5479 4.0042
Pt 1.4006 2.5479 4.0042
Pt 0.0000 5.4049 1.4563
```

- space-group type = Im-3 (204)
- N(E_F) (states/eV/f.u.) = 5.21
- formation enthalpy at 0 K (eV/f.u.) = -5.48

Record 12
First-principles (PBE) data for a geometry-optimized MoP4Ir structure, as listed in Alexandria via LeMat-Bulk.

```
6
Lattice="0.0000 3.4723 3.4723 3.4723 0.0000 3.4723 3.4723 3.4723 0.0000" Properties=species:S:1:pos:R:3 pbc="T T T"
Mo 0.0000 0.0000 0.0000
P 4.3385 2.6061 2.6061
P 2.6061 4.3385 2.6061
P 2.6061 2.6061 4.3385
P 4.3385 4.3385 4.3385
Ir 1.7361 1.7361 1.7361
```

- space-group type = F-43m (216)
- N(E_F) (states/eV/f.u.) = 4.95
- formation enthalpy at 0 K (eV/f.u.) = 4.55

Record 13
First-principles (PBE) data for a geometry-optimized Hf2Ta3Ge2 structure, as listed in Alexandria via LeMat-Bulk.

```
7
Lattice="5.0757 -1.8868 0.0000 5.0757 1.8868 0.0000 -2.5950 0.0000 6.8279" Properties=species:S:1:pos:R:3 pbc="T T T"
Hf 0.5372 0.0000 1.9613
Hf 7.0193 0.0000 4.8666
Ta 3.6750 0.0000 0.4158
Ta 3.7783 0.0000 3.4139
Ta 3.8815 0.0000 6.4121
Ge -0.1231 0.0000 4.8292
Ge 7.6796 0.0000 1.9987
```

- space-group type = C2/m (12)
- N(E_F) (states/eV/f.u.) = 6.23
- formation enthalpy at 0 K (eV/f.u.) = -2.42

Record 14
First-principles (PBE) data for a geometry-optimized SrCaCu2F8 structure, as listed in Alexandria via LeMat-Bulk.

```
12
Lattice="-2.7944 2.7944 5.4276 2.7944 -2.7944 5.4276 2.7944 2.7944 -5.4276" Properties=species:S:1:pos:R:3 pbc="T T T"
Sr 0.0000 0.0000 0.0000
Ca 2.7944 0.0000 2.7138
Cu 0.0000 0.0000 5.4276
Cu 0.0000 2.7944 2.7138
F 2.0591 1.1582 0.6645
F 1.6362 -0.7353 4.7631
F -0.8808 1.1921 2.1134
F 1.1582 3.5296 -0.6645
F 1.6023 1.9136 3.3142
F 0.7353 1.6362 6.0920
F -1.6023 3.6752 3.3142
F 0.8808 4.3967 2.1134
```

- space-group type = I-4 (82)
- formation energy (no corrections) (eV per atom) = -2.6854

Number 1: M_tot 0.0 μB/f.u., uncorrected energy -6.503 eV per atom. Number 2: M_tot 0.0 μB/f.u., uncorrected energy -6.015 eV per atom. Number 3: M_tot 0.0 μB/f.u., uncorrected energy -2.778 eV per atom. Number 4: M_tot 2.8 μB/f.u., uncorrected energy -6.067 eV per atom. Number 5: M_tot 0.0 μB/f.u., uncorrected energy -6.323 eV per atom. Number 6: M_tot 0.0 μB/f.u., uncorrected energy -5.091 eV per atom. Number 7: M_tot 0.0 μB/f.u., uncorrected energy -4.095 eV per atom. Number 8: M_tot 0.0 μB/f.u., uncorrected energy -5.784 eV per atom. Number 9: M_tot 0.0 μB/f.u., uncorrected energy -8.455 eV per atom. Number 10: M_tot 1.0 μB/f.u., uncorrected energy -6.260 eV per atom. Number 11: M_tot 0.0 μB/f.u., uncorrected energy -6.438 eV per atom. Number 12: M_tot 0.0 μB/f.u., uncorrected energy -6.130 eV per atom. Number 13: M_tot 0.0 μB/f.u., uncorrected energy -9.588 eV per atom. Number 14: M_tot 2.0 μB/f.u., uncorrected energy -4.923 eV per atom.